VASP calculation (PBE-GGA) on crystalline K2ScAgI6 at its relaxed geometry.

Geometry as extended XYZ:
```
10
Lattice="4.186 2.417 6.535 -4.186 2.417 6.535 0.000 -4.833 6.535" Properties=species:S:1:pos:R:3 pbc="T T T"
I 0.688 2.531 11.410
I -1.845 1.854 8.181
K 0.000 0.000 5.105
Ag 0.000 0.000 9.817
K 0.000 0.000 14.569
I -2.536 -0.670 11.410
I 1.848 -1.862 11.410
I -0.683 -2.524 8.181
I 2.527 0.671 8.181
Sc 0.000 0.000 0.000
```

Computed properties:
final energy = -31.6 eV/cell